[1]
Computed, not measured: PrZn5Ni2Rh after structural relaxation at the PBE level of DFT.

Results
Calculated total energy ... -31.32 eV for the cell shown
DOS at the Fermi energy ... 0.73 states/eV per atom
ΔE_f ... -0.14 eV per atom

Lattice parameters (Å, degrees): 4.6467 4.6467 6.9870 90.00 90.00 90.00
Positions (direct):
Pr 0.0000 0.0000 0.0000
Zn 0.0000 0.5000 0.3089
Zn 0.0000 0.5000 0.6911
Zn 0.5000 0.0000 0.3089
Zn 0.5000 0.0000 0.6911
Zn 0.5000 0.5000 0.0000
Ni 0.5000 0.5000 0.3338
Ni 0.5000 0.5000 0.6662
Rh 0.0000 0.0000 0.5000

=====

[2]
Computed, not measured: PrZn3NiRh after structural relaxation at the PBE level of DFT.

Results
Calculated total energy ... -47.16 eV for the cell shown
DOS at the Fermi energy ... 0.30 states/eV per atom
ΔE_f ... -0.31 eV per atom

Lattice parameters (Å, degrees): 7.0571 7.0571 5.3489 90.00 90.00 127.69
Positions (direct):
Pr 0.2249 0.7751 0.7500
Pr 0.7751 0.2249 0.2500
Zn 0.2045 0.2045 0.0000
Zn 0.2045 0.2045 0.5000
Zn 0.3606 0.6394 0.2500
Zn 0.6394 0.3606 0.7500
Zn 0.7955 0.7955 0.0000
Zn 0.7955 0.7955 0.5000
Ni 0.4392 0.5608 0.7500
Ni 0.5608 0.4392 0.2500
Rh 0.1506 0.8494 0.2500
Rh 0.8494 0.1506 0.7500

=====

[3]
Computed, not measured: Pr2Zn3Ni12Rh after structural relaxation at the PBE level of DFT.

Results
Calculated total energy ... -87.97 eV for the cell shown
DOS at the Fermi energy ... 1.09 states/eV per atom
ΔE_f ... 0.12 eV per atom

Lattice parameters (Å, degrees): 9.5578 9.5578 9.5578 36.36 36.36 36.36
Positions (direct):
Pr 0.1506 0.1506 0.1506
Pr 0.8494 0.8494 0.8494
Zn 0.0000 0.5000 0.5000
Zn 0.5000 0.0000 0.5000
Zn 0.5000 0.5000 0.0000
Ni 0.0806 0.0806 0.6888
Ni 0.0806 0.6888 0.0806
Ni 0.1458 0.5682 0.5682
Ni 0.3112 0.9194 0.9194
Ni 0.4318 0.4318 0.8542
Ni 0.4318 0.8542 0.4318
Ni 0.5682 0.1458 0.5682
Ni 0.5682 0.5682 0.1458
Ni 0.6888 0.0806 0.0806
Ni 0.8542 0.4318 0.4318
Ni 0.9194 0.3112 0.9194
Ni 0.9194 0.9194 0.3112
Rh 0.5000 0.5000 0.5000

=====

[4]
Computed, not measured: Pr2ZnNi12Rh3 after structural relaxation at the PBE level of DFT.

Results
Calculated total energy ... -102.05 eV for the cell shown
DOS at the Fermi energy ... 1.59 states/eV per atom
ΔE_f ... 0.01 eV per atom

Lattice parameters (Å, degrees): 6.3664 6.3664 6.3664 83.19 83.19 83.19
Positions (direct):
Pr 0.2242 0.2242 0.2242
Pr 0.7758 0.7758 0.7758
Zn 0.5000 0.5000 0.5000
Ni 0.0763 0.0763 0.6543
Ni 0.0763 0.6543 0.0763
Ni 0.2332 0.7024 0.7024
Ni 0.2976 0.2976 0.7668
Ni 0.2976 0.7668 0.2976
Ni 0.3457 0.9237 0.9237
Ni 0.6543 0.0763 0.0763
Ni 0.7024 0.2332 0.7024
Ni 0.7024 0.7024 0.2332
Ni 0.7668 0.2976 0.2976
Ni 0.9237 0.3457 0.9237
Ni 0.9237 0.9237 0.3457
Rh 0.0000 0.5000 0.5000
Rh 0.5000 0.0000 0.5000
Rh 0.5000 0.5000 0.0000